Entry 1:
The following is a DFT calculation (PBE) of crystalline Na2HoZrSe4 at its relaxed geometry.

abc: 3.969 6.935 7.445
angles: 107.85 90.00 90.00
Sites, in units of the cell vectors:
Na  0.500  0.000  0.500
Na  0.000  0.500  0.500
Se  0.000  0.266  0.774
Se  0.500  0.748  0.770
Se  0.000  0.734  0.226
Se  0.500  0.252  0.230
Zr  0.500  0.500  0.000
Ho  0.000  0.000  0.000

As for the mass density: 5261 kg/m³. The value obtained for the raw formation energy is -1480 meV per atom. The magnetic moment comes out at 0.00 μB/cell.


Entry 2:
The following is a DFT calculation (PBE) of crystalline Na3Ho2ZrSe6 at its relaxed geometry.

abc: 6.983 6.983 7.434
angles: 99.03 99.03 120.01
Sites, in units of the cell vectors:
Se  0.754  0.754  0.228
Se  0.399  0.076  0.229
Se  0.246  0.246  0.772
Se  0.924  0.601  0.771
Se  0.601  0.924  0.771
Se  0.076  0.399  0.229
Zr  0.000  0.000  0.000
Na  0.169  0.831  0.500
Na  0.831  0.169  0.500
Na  0.500  0.500  0.500
Ho  0.334  0.666  0.000
Ho  0.666  0.334  0.000

As for the mass density: 5370 kg/m³. The value obtained for the raw formation energy is -1545 meV per atom. The magnetic moment comes out at 0.00 μB/cell.


Entry 3:
The following is a DFT calculation (PBE) of crystalline Na4Ho3ZrSe8 at its relaxed geometry.

abc: 8.122 8.454 8.122
angles: 118.71 120.02 89.99
Site moments in Bohr magnetons follow the coordinates.
Sites, in units of the cell vectors:
Zr  0.000  0.500  0.000  0.25
Se  0.238  0.727  0.990  0.00
Se  0.256  0.269  0.512  0.00
Se  0.752  0.727  0.990  0.00
Se  0.238  0.727  0.476  0.00
Se  0.762  0.273  0.524  0.00
Se  0.248  0.273  0.010  0.00
Se  0.762  0.273  0.010  0.00
Se  0.744  0.731  0.488  0.00
Na  0.000  0.000  0.000  0.00
Na  0.000  0.000  0.500  0.00
Na  0.500  0.000  0.000  0.00
Na  0.500  0.000  0.500  0.00
Ho  0.500  0.500  0.500  0.02
Ho  0.000  0.500  0.500  0.02
Ho  0.500  0.500  0.000  0.02

As for the mass density: 5413 kg/m³. The value obtained for the raw formation energy is -1585 meV per atom. The magnetic moment comes out at 0.47 μB/cell.